1.
The following is a DFT calculation (PBE) of Li5Tb3I12 after structural relaxation.

Cell lengths 15.1839, 15.1839, 15.1839 Å; angles 109.47, 109.47, 109.47 degrees
Last column: nearest neighbours and their distance in Å.
Element x y z (fractional)
I1 0.7178 0.1267 0.0381  2 Li 2.67-2.95
I2 0.3203 0.5381 0.4114  2 Li 2.67-2.95
I3 0.9619 0.3733 0.2822  2 Li 2.67-2.95
I4 0.5381 0.2178 0.1267  2 Li 2.67-2.95
I5 0.5911 0.7178 0.6797  2 Li 2.67-2.95
I6 0.9619 0.5886 0.1797  2 Li 2.67-2.95
I7 0.3203 0.7822 0.4089  2 Li 2.67-2.95
I8 0.0886 0.9089 0.1267  2 Li 2.67-2.95
I9 0.5886 0.9619 0.6797  2 Li 2.67-2.95
I10 0.7178 0.5911 0.1797  2 Li 2.67-2.95
I11 0.7822 0.4619 0.3733  2 Li 2.67-2.95
I12 0.8203 0.9114 0.0381  2 Li 2.67-2.95
I13 0.1267 0.7178 0.5381  2 Li 2.67-2.95
I14 0.3733 0.4114 0.0911  2 Li 2.67-2.95
I15 0.0911 0.9114 0.3733  2 Li 2.67-2.95
I16 0.4089 0.1267 0.5886  2 Li 2.67-2.95
I17 0.0911 0.1797 0.2178  2 Li 2.67-2.95
I18 0.4619 0.6797 0.0886  2 Li 2.67-2.95
I19 0.8203 0.9089 0.2822  2 Li 2.67-2.95
I20 0.1267 0.4089 0.0886  2 Li 2.67-2.95
I21 0.3733 0.9619 0.7822  2 Li 2.67-2.95
I22 0.5886 0.6267 0.4089  2 Li 2.67-2.95
I23 0.9114 0.8203 0.5381  2 Li 2.67-2.95
I24 0.7822 0.3203 0.9089  2 Li 2.67-2.95
I25 0.4114 0.3733 0.5911  2 Li 2.67-2.95
I26 0.0886 0.1797 0.4619  2 Li 2.67-2.95
I27 0.2178 0.6797 0.0911  2 Li 2.67-2.95
I28 0.1797 0.0911 0.7178  2 Li 2.67-2.95
I29 0.6267 0.0381 0.2178  2 Li 2.67-2.95
I30 0.8733 0.5911 0.9114  2 Li 2.67-2.95
I31 0.5381 0.3203 0.9114  2 Li 2.67-2.95
I32 0.5911 0.8733 0.4114  2 Li 2.67-2.95
I33 0.9089 0.8203 0.7822  2 Li 2.67-2.95
I34 0.9089 0.0886 0.6267  2 Li 2.67-2.95
I35 0.8733 0.2822 0.4619  2 Li 2.67-2.95
I36 0.1797 0.0886 0.9619  2 Li 2.67-2.95
I37 0.6267 0.5886 0.9089  2 Li 2.67-2.95
I38 0.4114 0.0381 0.3203  2 Li 2.67-2.95
I39 0.2822 0.4089 0.8203  2 Li 2.67-2.95
I40 0.2178 0.5381 0.6267  2 Li 2.67-2.95
I41 0.9114 0.0911 0.8733  2 Li 2.67-2.95
I42 0.6797 0.2178 0.5911  2 Li 2.67-2.95
I43 0.4619 0.7822 0.8733  2 Li 2.67-2.95
I44 0.0381 0.4114 0.8203  2 Li 2.67-2.95
I45 0.4089 0.2822 0.3203  2 Li 2.67-2.95
I46 0.0381 0.6267 0.7178  2 Li 2.67-2.95
I47 0.6797 0.4619 0.5886  2 Li 2.67-2.95
I48 0.2822 0.8733 0.9619  2 Li 2.67-2.95
Tb1 0.7500 0.3750 0.1250  8 I 3.32-3.35
Tb2 0.8750 0.7500 0.1250  8 I 3.32-3.35
Tb3 0.3750 0.7500 0.6250  8 I 3.32-3.35
Tb4 0.2500 0.1250 0.3750  8 I 3.32-3.35
Tb5 0.8750 0.1250 0.2500  8 I 3.32-3.35
Tb6 0.3750 0.6250 0.2500  8 I 3.32-3.35
Tb7 0.6250 0.3750 0.7500  8 I 3.32-3.35
Tb8 0.1250 0.8750 0.7500  8 I 3.32-3.35
Tb9 0.7500 0.8750 0.6250  8 I 3.32-3.35
Tb10 0.6250 0.2500 0.3750  8 I 3.32-3.35
Tb11 0.1250 0.2500 0.8750  8 I 3.32-3.35
Tb12 0.2500 0.6250 0.8750  8 I 3.32-3.35
Li1 0.1250 0.3750 0.2500  4 I 2.67
Li2 0.0000 0.5000 0.0000  6 I 2.95
Li3 0.0000 0.0000 0.0000  6 I 2.95
Li4 0.3750 0.2500 0.1250  4 I 2.67
Li5 0.5000 0.0000 0.5000  6 I 2.95
Li6 0.5000 0.5000 0.0000  6 I 2.95
Li7 0.1250 0.7500 0.3750  4 I 2.67
Li8 0.7500 0.1250 0.8750  4 I 2.67
Li9 0.7500 0.6250 0.3750  4 I 2.67
Li10 0.3750 0.1250 0.7500  4 I 2.67
Li11 0.6250 0.8750 0.2500  4 I 2.67
Li12 0.5000 0.5000 0.5000  6 I 2.95
Li13 0.5000 0.0000 0.0000  6 I 2.95
Li14 0.0000 0.0000 0.5000  6 I 2.95
Li15 0.2500 0.3750 0.6250  4 I 2.67
Li16 0.2500 0.8750 0.1250  4 I 2.67
Li17 0.0000 0.5000 0.5000  6 I 2.95
Li18 0.8750 0.2500 0.6250  4 I 2.67
Li19 0.6250 0.7500 0.8750  4 I 2.67
Li20 0.8750 0.6250 0.7500  4 I 2.67

Output
M_tot = 1.74 μB per formula unit
crystal system = cubic
raw formation energy = -1.09 eV per atom

2.
The following is a DFT calculation (PBE) of Na3ZrCr2Se6 after structural relaxation.

Cell lengths 6.6632, 6.6632, 7.3076 Å; angles 98.76, 98.76, 120.01 degrees
Last column: nearest neighbours and their distance in Å.
Element x y z (fractional)
Na1 0.1643 0.8357 0.5000  6 Se 2.97-3.03
Na2 0.8357 0.1643 0.5000  6 Se 2.97-3.03
Na3 0.5000 0.5000 0.5000  6 Se 2.95-3.03
Zr1 0.0000 0.0000 0.0000  6 Se 2.72
Cr1 0.3330 0.6670 0.0000  6 Se 2.63
Cr2 0.6670 0.3330 0.0000  6 Se 2.63
Se1 0.9298 0.5859 0.7899  2 Cr 2.63, 1 Zr 2.72
Se2 0.7258 0.7258 0.2099  2 Cr 2.63, 1 Zr 2.72
Se3 0.0702 0.4141 0.2101  2 Cr 2.63, 1 Zr 2.72
Se4 0.5859 0.9298 0.7899  2 Cr 2.63, 1 Zr 2.72
Se5 0.2742 0.2742 0.7901  2 Cr 2.63, 1 Zr 2.72
Se6 0.4141 0.0702 0.2101  2 Cr 2.63, 1 Zr 2.72

Output
M_tot = 6.96 μB per formula unit
crystal system = monoclinic
raw formation energy = -0.95 eV per atom

3.
The following is a DFT calculation (PBE) of OsPbSe2 after structural relaxation.

Cell lengths 3.2764, 3.2764, 9.7523 Å; angles 90.00, 90.00, 122.31 degrees
Last column: nearest neighbours and their distance in Å.
Element x y z (fractional)
Os1 0.5000 0.5000 0.2500  4 Se 2.50
Pb1 0.5000 0.5000 0.7500  6 Pb 3.16-3.28, 4 Se 3.34
Se1 0.0000 0.0000 0.0513  2 Os 2.50
Se2 0.0000 0.0000 0.4487  2 Os 2.50

Output
M_tot = 0.00 μB per formula unit
crystal system = orthorhombic
raw formation energy = 0.53 eV per atom

4.
The following is a DFT calculation (PBE) of SiPt2Pb after structural relaxation.

Cell lengths 4.7087, 4.7087, 4.7087 Å; angles 60.00, 60.00, 60.00 degrees
Last column: nearest neighbours and their distance in Å.
Element x y z (fractional)
Pb1 0.5000 0.5000 0.5000  4 Pt 2.88, 4 Si 2.88
Pt1 0.0000 0.0000 0.0000  4 Pt 2.88, 4 Si 2.88
Pt2 0.7500 0.7500 0.7500  4 Pb 2.88, 4 Pt 2.88
Si1 0.2500 0.2500 0.2500  4 Pb 2.88, 4 Pt 2.88

Output
M_tot = 0.00 μB per formula unit
crystal system = cubic
raw formation energy = 0.25 eV per atom

5.
The following is a DFT calculation (PBE) of Ac4Hg2IrSe after structural relaxation.

Cell lengths 4.3942, 7.9397, 8.3483 Å; angles 106.71, 90.00, 90.00 degrees
Last column: nearest neighbours and their distance in Å.
Element x y z (fractional)
Ac1 0.5000 0.2635 0.2188  1 Ir 2.97, 2 Se 3.22
Ac2 0.5000 0.7365 0.7812  1 Ir 2.97, 2 Se 3.22
Ac3 0.0000 0.2831 0.7907  2 Ir 3.02, 1 Se 3.22, 1 Hg 3.36
Ac4 0.0000 0.7169 0.2093  2 Ir 3.02, 1 Se 3.22, 1 Hg 3.36
Hg1 0.5000 0.0000 0.5000  6 Ac 3.55-3.57
Hg2 0.0000 0.5000 0.5000  6 Ac 3.36-3.37
Ir1 0.5000 0.5000 0.0000  6 Ac 2.97-3.02
Se1 0.0000 0.0000 0.0000  6 Ac 3.22

Output
M_tot = 0.00 μB per formula unit
crystal system = monoclinic
raw formation energy = -0.83 eV per atom

6.
The following is a DFT calculation (PBE) of CdSi2Se after structural relaxation.

Cell lengths 4.7582, 2.7793, 5.9179 Å; angles 90.00, 90.00, 90.00 degrees
Last column: nearest neighbours and their distance in Å.
Element x y z (fractional)
Cd1 0.5000 0.2500 0.2500  2 Cd 2.78, 8 Si 3.05
Se1 0.5000 0.7500 0.7500  2 Se 2.78, 4 Si 2.90
Si1 0.0000 0.7501 0.0308  3 Si 2.59-2.78, 2 Se 2.90
Si2 0.0000 0.7499 0.4692  3 Si 2.59-2.78, 2 Se 2.90

Output
M_tot = 0.00 μB per formula unit
crystal system = orthorhombic
energy above the most stable polymorph in this dataset = 36.3 kJ per mole of atoms
raw formation energy = 0.41 eV per atom

7.
The following is a DFT calculation (PBE) of Li2TlAg8 after structural relaxation.

Cell lengths 4.4778, 7.1579, 7.6151 Å; angles 118.03, 107.10, 90.00 degrees
Last column: nearest neighbours and their distance in Å.
Element x y z (fractional)
Li1 0.2015 0.7015 0.4030  10 Ag 2.74-2.90
Li2 0.7985 0.2985 0.5970  10 Ag 2.74-2.90
Tl1 0.5000 0.0000 0.0000  12 Ag 2.89-3.14
Ag1 0.6549 0.8592 0.3098  3 Li 2.74-2.79, 4 Ag 2.81-2.98, 1 Tl 2.89
Ag2 0.3451 0.5495 0.6902  3 Li 2.74-2.79, 4 Ag 2.81-2.98, 1 Tl 2.89
Ag3 0.1562 0.1562 0.3125  8 Ag 2.81-3.08, 2 Li 2.87, 2 Tl 2.99
Ag4 0.0000 0.3067 0.0000  7 Ag 2.77-2.98, 2 Li 2.90
Ag5 0.8438 0.8438 0.6875  8 Ag 2.81-3.08, 2 Li 2.87, 2 Tl 2.99
Ag6 0.6549 0.4505 0.3098  3 Li 2.74-2.79, 4 Ag 2.81-2.98, 1 Tl 2.89
Ag7 0.3451 0.1408 0.6902  3 Li 2.74-2.79, 4 Ag 2.81-2.98, 1 Tl 2.89
Ag8 0.0000 0.6933 0.0000  7 Ag 2.77-2.98, 2 Li 2.90

Output
formation enthalpy at 0 K = -0.0029 eV per atom
M_tot = 0.00 μB per formula unit
crystal system = orthorhombic
energy above the most stable polymorph in this dataset = 3.9 kJ per mole of atoms

8.
The following is a DFT calculation (PBE) of LaSIO2 after structural relaxation.

Cell lengths 4.3629, 4.3629, 5.0768 Å; angles 90.00, 90.00, 90.00 degrees
Last column: nearest neighbours and their distance in Å.
Element x y z (fractional)
I1 0.0000 0.0000 0.5000  2 S 2.54
S1 0.0000 0.0000 0.0000  4 O 2.18
O1 0.0000 0.5000 0.0000  2 S 2.18
O2 0.5000 0.0000 0.0000  2 S 2.18
La1 0.5000 0.5000 0.5000  4 I 3.09, 8 O 3.35

Output
M_tot = 0.00 μB per formula unit
crystal system = tetragonal
raw formation energy = -0.39 eV per atom

Number 1: VASP energy -3.20 eV per atom. Number 2: VASP energy -5.34 eV per atom. Number 3: VASP energy -4.95 eV per atom. Number 4: VASP energy -5.05 eV per atom. Number 5: VASP energy -4.51 eV per atom. Number 6: VASP energy -3.40 eV per atom. Number 7: VASP energy -2.64 eV per atom. Number 8: VASP energy -4.50 eV per atom.